# 1
# Y6Au5, relaxed, DFT PBE-GGA
# Total energy: -0.4237 Ry per atom
# DFT formation energy: -0.75 eV/atom
data_Y6Au5
_symmetry_space_group_name_H-M 'P 1'
_symmetry_Int_Tables_number 1
_symmetry_space_group_name_Hall 'P 1'
_cell_length_a 5.059
_cell_length_b 7.190
_cell_length_c 8.787
_cell_angle_alpha 114.15
_cell_angle_beta 106.73
_cell_angle_gamma 90.00
loop_
_atom_site_label
_atom_site_type_symbol
_atom_site_fract_x
_atom_site_fract_y
_atom_site_fract_z
Au1 Au 0.339 0.839 0.679
Au2 Au 0.000 0.500 0.000
Y1 Y 0.500 0.750 0.000
Y2 Y 0.835 0.085 0.670
Y3 Y 0.835 0.585 0.670
Au3 Au 0.661 0.161 0.321
Y4 Y 0.165 0.915 0.330
Au4 Au 0.330 0.330 0.659
Y5 Y 0.165 0.415 0.330
Au5 Au 0.670 0.670 0.341
Y6 Y 0.500 0.250 0.000


# 2
# Y4Au, relaxed, DFT PBE-GGA
# Total energy: -0.4207 Ry per atom
# DFT formation energy: 0.10 eV/atom
data_Y4Au
_symmetry_space_group_name_H-M 'P 1'
_symmetry_Int_Tables_number 1
_symmetry_space_group_name_Hall 'P 1'
_cell_length_a 5.978
_cell_length_b 5.978
_cell_length_c 5.978
_cell_angle_alpha 109.47
_cell_angle_beta 109.47
_cell_angle_gamma 109.47
loop_
_atom_site_label
_atom_site_type_symbol
_atom_site_fract_x
_atom_site_fract_y
_atom_site_fract_z
Y1 Y 0.000 0.500 0.000
Y2 Y 0.500 0.000 0.000
Y3 Y 0.000 0.000 0.500
Y4 Y 0.500 0.500 0.500
Au1 Au 0.000 0.000 0.000


# 3
# Y3Au4, relaxed, DFT PBE-GGA
# Total energy: -0.3959 Ry per atom
# DFT formation energy: -0.74 eV/atom
data_Y3Au4
_symmetry_space_group_name_H-M 'P 1'
_symmetry_Int_Tables_number 1
_symmetry_space_group_name_Hall 'P 1'
_cell_length_a 11.540
_cell_length_b 11.540
_cell_length_c 11.540
_cell_angle_alpha 161.02
_cell_angle_beta 161.02
_cell_angle_gamma 26.96
loop_
_atom_site_label
_atom_site_type_symbol
_atom_site_fract_x
_atom_site_fract_y
_atom_site_fract_z
Y1 Y 0.000 0.000 0.000
Y2 Y 0.302 0.302 0.000
Au1 Au 0.140 0.140 0.000
Au2 Au 0.565 0.565 0.000
Au3 Au 0.435 0.435 0.000
Y3 Y 0.698 0.698 0.000
Au4 Au 0.860 0.860 0.000


Which of these has the highest DFT formation energy? Y4Au


Among the records above, which one has the lowest DFT formation energy? Y6Au5


Which of these has the lowest total energy? Y6Au5